Entry 1:
NaGaCuRu2: relaxed, PBE.

Lattice parameters (Å, degrees): 4.6364 4.6364 4.8899 90.00 90.00 90.00
Positions (direct):
Na 0.0000 0.0000 0.0000
Ga 0.0000 0.0000 0.5000
Cu 0.5000 0.5000 0.0000
Ru 0.0000 0.5000 0.5000
Ru 0.5000 0.0000 0.5000

Output
space group: P4/mmm
V: 21.02 A^3/atom
total energy: -4.159 eV/atom
formation energy from the elements: 6.2 eV/f.u.

Entry 2:
CsSnHg2: relaxed, PBE.

Lattice parameters (Å, degrees): 7.2798 7.2798 7.2798 41.75 41.75 41.75
Positions (direct):
Cs 0.0000 0.0000 0.0000
Sn 0.5000 0.5000 0.5000
Hg 0.2048 0.2048 0.2048
Hg 0.7952 0.7952 0.7952

Output
space group: R-3m
V: 38.66 A^3/atom
total energy: -1.529 eV/atom
formation energy from the elements: -0.7 eV/f.u.

Entry 3:
AlPd6Au: relaxed, PBE.

Lattice parameters (Å, degrees): 3.9693 3.9693 7.8537 90.00 90.00 90.00
Positions (direct):
Al 0.0000 0.0000 0.0000
Pd 0.0000 0.5000 0.2382
Pd 0.0000 0.5000 0.7618
Pd 0.5000 0.0000 0.2382
Pd 0.5000 0.0000 0.7618
Pd 0.5000 0.5000 0.0000
Pd 0.5000 0.5000 0.5000
Au 0.0000 0.0000 0.5000

Output
space group: P4/mmm
V: 15.47 A^3/atom
total energy: -5.096 eV/atom
formation energy from the elements: -2.6 eV/f.u.

Entry 4:
LiTl2AgCl4: relaxed, PBE.

Lattice parameters (Å, degrees): 8.4008 8.4008 8.2720 119.35 119.35 90.22
Positions (direct):
Li 0.0000 0.0000 0.0000
Li 0.0000 0.0000 0.5000
Tl 0.0000 0.5000 0.0000
Tl 0.5000 0.0000 0.5000
Tl 0.5000 0.5000 0.0000
Tl 0.5000 0.5000 0.5000
Ag 0.0000 0.5000 0.5000
Ag 0.5000 0.0000 0.0000
Cl 0.1995 0.2239 0.4632
Cl 0.2239 0.1995 0.9632
Cl 0.2281 0.7701 0.5275
Cl 0.2299 0.7719 0.9725
Cl 0.7701 0.2281 0.0275
Cl 0.7719 0.2299 0.4725
Cl 0.7761 0.8005 0.0368
Cl 0.8005 0.7761 0.5368

Output
space group: C2/c
ΔE_f (raw): -1.01 eV per atom
V: 26.25 A^3/atom
total energy: -3.125 eV/atom

Entry 5:
Si2RhSe: relaxed, PBE.

Lattice parameters (Å, degrees): 5.9039 5.9039 5.9039 152.23 135.92 52.90
Positions (direct):
Si 0.2024 0.2024 0.0000
Si 0.7976 0.7976 0.0000
Rh 0.0000 0.5000 0.5000
Se 0.5000 0.0000 0.5000

Output
space group: Immm
ΔE_f (raw): 0.14 eV per atom
V: 16.59 A^3/atom
total energy: -5.284 eV/atom

Entry 6:
TaTcBrO2: relaxed, PBE.

Lattice parameters (Å, degrees): 3.8053 3.8053 5.4398 90.00 90.00 90.00
Positions (direct):
Ta 0.0000 0.0000 0.0000
Tc 0.0000 0.0000 0.5000
Br 0.5000 0.5000 0.0000
O 0.0000 0.5000 0.5000
O 0.5000 0.0000 0.5000

Output
space group: P4/mmm
ΔE_f (raw): -0.36 eV per atom
V: 15.75 A^3/atom
total energy: -7.122 eV/atom

Entry 7:
Sm4Mg5Cu2: relaxed, PBE.

Lattice parameters (Å, degrees): 8.0147 3.5427 10.0038 90.00 93.15 90.00
Positions (direct):
Sm 0.1587 0.0000 0.3589
Sm 0.2297 0.0000 0.9503
Sm 0.7703 0.0000 0.0497
Sm 0.8413 0.0000 0.6411
Mg 0.1913 0.5000 0.6593
Mg 0.4445 0.5000 0.1899
Mg 0.5000 0.5000 0.5000
Mg 0.5555 0.5000 0.8101
Mg 0.8087 0.5000 0.3407
Cu 0.0568 0.5000 0.1313
Cu 0.9432 0.5000 0.8687

Output
space group: P2/m
V: 25.78 A^3/atom
total energy: -3.275 eV/atom
formation energy from the elements: -1.0 eV/f.u.

Entry 8:
Cs2KTe2: relaxed, PBE.

Lattice parameters (Å, degrees): 10.8508 10.8508 4.0639 90.00 90.00 90.00
Positions (direct):
Cs 0.1212 0.3787 0.0000
Cs 0.3787 0.8788 0.0000
Cs 0.6212 0.1212 0.0000
Cs 0.8788 0.6212 0.0000
K 0.0000 0.0000 0.0000
K 0.5000 0.5000 0.0000
Te 0.1775 0.6775 0.5000
Te 0.3225 0.1775 0.5000
Te 0.6775 0.8225 0.5000
Te 0.8225 0.3225 0.5000

Output
space group: P4/mbm
ΔE_f (raw): -0.76 eV per atom
distance to the lowest polymorph of the same formula: 0.586 eV/f.u.
V: 47.85 A^3/atom
total energy: -2.576 eV/atom